(1)
This record from Alexandria via LeMat-Bulk describes a relaxed ScCoPd crystal. The functional is GGA-PBE.

```
ScCoPd
1.0
-2.371 3.134 3.134
2.371 -3.134 3.134
2.371 3.134 -3.134
Sc Co Pd
2 2 2
Direct
0.170 0.250 0.420 Sc
0.830 0.750 0.580 Sc
0.663 0.163 0.500 Co
0.663 0.663 0.000 Co
0.156 0.561 0.095 Pd
0.465 0.061 0.905 Pd
```

Summary:
space-group type: No. 46
crystal system: orthorhombic
total moment: 0.81 μB/f.u.
density of states at the Fermi level: 5.34 states/eV per cell
raw total energy: -0.24534 hartree per atom

=====

(2)
This record from Alexandria via LeMat-Bulk describes a relaxed CrPb crystal. The functional is GGA-PBE.

```
CrPb
1.0
4.898 0.000 0.000
-2.449 4.242 0.000
0.000 0.000 5.528
Cr Pb
2 2
Direct
0.333 0.667 0.250 Cr
0.667 0.333 0.750 Cr
0.333 0.667 0.750 Pb
0.667 0.333 0.250 Pb
```

Summary:
space-group type: No. 194
crystal system: hexagonal
total moment: 3.62 μB/f.u.
density of states at the Fermi level: 3.08 states/eV per cell
raw total energy: -0.20887 hartree per atom

=====

(3)
This record from Alexandria via LeMat-Bulk describes a relaxed La2Tl3Pd4 crystal. The functional is GGA-PBE.

```
La2Tl3Pd4
1.0
3.112 -8.929 0.000
3.112 8.929 0.000
0.000 0.000 7.435
La Tl Pd
4 6 8
Direct
0.105 0.895 0.920 La
0.395 0.605 0.420 La
0.605 0.395 0.580 La
0.895 0.105 0.080 La
0.000 0.000 0.500 Tl
0.012 0.488 0.750 Tl
0.488 0.012 0.250 Tl
0.500 0.500 0.000 Tl
0.512 0.988 0.750 Tl
0.988 0.512 0.250 Tl
0.159 0.841 0.526 Pd
0.174 0.326 0.750 Pd
0.326 0.174 0.250 Pd
0.341 0.659 0.026 Pd
0.659 0.341 0.974 Pd
0.674 0.826 0.750 Pd
0.826 0.674 0.250 Pd
0.841 0.159 0.474 Pd
```

Summary:
space-group type: No. 64
crystal system: orthorhombic
total moment: 0.00 μB/f.u.
density of states at the Fermi level: 11.32 states/eV per cell
raw total energy: -0.17354 hartree per atom

=====

(4)
This record from Alexandria via LeMat-Bulk describes a relaxed TeMoCl3 crystal. The functional is GGA-PBE.

```
TeMoCl3
1.0
4.855 0.000 0.000
0.000 4.855 0.000
0.000 0.000 4.855
Te Mo Cl
1 1 3
Direct
0.000 0.000 0.000 Te
0.500 0.500 0.500 Mo
0.000 0.500 0.500 Cl
0.500 0.000 0.500 Cl
0.500 0.500 0.000 Cl
```

Summary:
space-group type: No. 221
crystal system: cubic
formation energy (no corrections): 12.6 kJ per mole of atoms
total moment: 0.00 μB/f.u.
energy relative to the lowest polymorph listed for this composition: 0.000 eV/atom
density of states at the Fermi level: 4.27 states/eV per cell

=====

(5)
This record from Alexandria via LeMat-Bulk describes a relaxed BiPdS crystal. The functional is GGA-PBE.

```
BiPdS
1.0
6.074 0.000 0.000
0.000 5.520 0.000
-0.886 0.000 8.201
Bi Pd S
4 4 4
Direct
0.221 0.249 0.221 Bi
0.221 0.251 0.721 Bi
0.779 0.749 0.279 Bi
0.779 0.751 0.779 Bi
0.090 0.750 0.050 Pd
0.090 0.750 0.550 Pd
0.910 0.250 0.450 Pd
0.910 0.250 0.950 Pd
0.311 0.749 0.317 S
0.311 0.751 0.817 S
0.689 0.249 0.183 S
0.689 0.251 0.683 S
```

Summary:
space-group type: No. 14
crystal system: monoclinic
formation energy (no corrections): -25.7 kJ per mole of atoms
total moment: 0.00 μB/f.u.
density of states at the Fermi level: 3.66 states/eV per cell

=====

(6)
This record from Alexandria via LeMat-Bulk describes a relaxed LaAlCu2S4 crystal. The functional is GGA-PBE.

```
LaAlCu2S4
1.0
-3.185 3.281 3.740
3.185 -3.281 3.740
3.185 3.281 -3.740
La Al Cu S
1 1 2 4
Direct
0.000 0.000 0.000 La
0.500 0.500 0.000 Al
0.318 0.818 0.500 Cu
0.682 0.182 0.500 Cu
0.129 0.119 0.596 S
0.477 0.881 0.010 S
0.523 0.533 0.404 S
0.871 0.467 0.990 S
```

Summary:
space-group type: No. 23
crystal system: orthorhombic
formation energy (no corrections): -103.8 kJ per mole of atoms
total moment: 0.00 μB/f.u.

=====

(7)
This record from Alexandria via LeMat-Bulk describes a relaxed Co2AgAu crystal. The functional is GGA-PBE.

```
Co2AgAu
1.0
3.147 0.000 0.000
0.000 3.147 0.000
0.000 0.000 5.903
Co Ag Au
2 1 1
Direct
0.000 0.000 0.244 Co
0.000 0.000 0.756 Co
0.500 0.500 0.500 Ag
0.500 0.500 0.000 Au
```

Summary:
space-group type: No. 123
crystal system: tetragonal
total moment: 3.48 μB/f.u.
density of states at the Fermi level: 4.76 states/eV per cell
raw total energy: -0.17142 hartree per atom

=====

(8)
This record from Alexandria via LeMat-Bulk describes a relaxed Na2LaNpO6 crystal. The functional is GGA-PBE.

```
Na2LaNpO6
1.0
5.863 0.000 0.000
0.000 6.056 0.000
-5.860 0.000 8.451
Na La Np O
4 2 2 12
Direct
0.238 0.038 0.243 Na
0.238 0.462 0.743 Na
0.762 0.538 0.257 Na
0.762 0.962 0.757 Na
0.000 0.000 0.500 La
0.000 0.500 0.000 La
0.500 0.000 0.000 Np
0.500 0.500 0.500 Np
0.165 0.173 0.952 O
0.165 0.327 0.452 O
0.269 0.720 0.935 O
0.269 0.780 0.435 O
0.379 0.054 0.773 O
0.379 0.446 0.273 O
0.621 0.554 0.727 O
0.621 0.946 0.227 O
0.731 0.220 0.565 O
0.731 0.280 0.065 O
0.835 0.673 0.548 O
0.835 0.827 0.048 O
```

Summary:
space-group type: No. 14
crystal system: monoclinic
formation energy (no corrections): -251.9 kJ per mole of atoms
total moment: 0.00 μB/f.u.

=====

(9)
This record from Alexandria via LeMat-Bulk describes a relaxed KP2Au crystal. The functional is GGA-PBE.

```
KP2Au
1.0
5.468 -1.705 0.000
5.468 1.705 0.000
-2.987 0.000 5.807
K P Au
1 2 1
Direct
0.000 0.000 0.000 K
0.514 0.514 0.583 P
0.878 0.878 0.374 P
0.699 0.699 0.485 Au
```

Summary:
space-group type: No. 8
crystal system: monoclinic
total moment: 0.00 μB/f.u.
energy relative to the lowest polymorph listed for this composition: 0.000 eV/atom

=====

(10)
This record from Alexandria via LeMat-Bulk describes a relaxed ScIO2 crystal. The functional is GGA-PBE.

```
ScIO2
1.0
1.709 0.987 6.414
-1.709 0.987 6.414
0.000 -1.973 6.414
Sc I O
1 1 2
Direct
0.000 0.000 0.000 Sc
0.500 0.500 0.500 I
0.382 0.382 0.382 O
0.618 0.618 0.618 O
```

Summary:
space-group type: No. 166
crystal system: trigonal
formation energy (no corrections): -184.8 kJ per mole of atoms
total moment: 0.00 μB/f.u.
energy relative to the lowest polymorph listed for this composition: 0.000 eV/atom
density of states at the Fermi level: 1.16 states/eV per cell

=====

(11)
This record from Alexandria via LeMat-Bulk describes a relaxed Zr2TlCuH crystal. The functional is GGA-PBE.

```
Zr2TlCuH
1.0
4.405 0.000 0.000
0.000 4.405 0.000
0.000 0.000 4.218
Zr Tl Cu H
2 1 1 1
Direct
0.000 0.500 0.000 Zr
0.500 0.000 0.000 Zr
0.000 0.000 0.500 Tl
0.500 0.500 0.500 Cu
0.500 0.500 0.000 H
```

Summary:
space-group type: No. 123
crystal system: tetragonal
total moment: 0.00 μB/f.u.
density of states at the Fermi level: 1.84 states/eV per cell
raw total energy: -0.20381 hartree per atom

=====

(12)
This record from Alexandria via LeMat-Bulk describes a relaxed CaCdSn3 crystal. The functional is GGA-PBE.

```
CaCdSn3
1.0
5.551 0.000 0.000
0.000 5.551 0.000
0.000 0.000 5.551
Ca Cd Sn
1 1 3
Direct
0.000 0.000 0.000 Ca
0.500 0.500 0.500 Cd
0.000 0.500 0.500 Sn
0.500 0.000 0.500 Sn
0.500 0.500 0.000 Sn
```

Summary:
space-group type: No. 221
crystal system: cubic
total moment: 0.00 μB/f.u.
energy relative to the lowest polymorph listed for this composition: 0.000 eV/atom
density of states at the Fermi level: 3.48 states/eV per cell

=====

Which value of total moment does entry 6 give? 0.00 μB/f.u.

=====

Which formula does entry 11 have? Zr2TlCuH